Compound: SnTePd2Rh
Source: Alexandria via LeMat-Bulk
Functional: PBE
Structure: relaxed

Unit cell a=4.9548 b=4.9548 c=4.8912 alpha=90.00 beta=90.00 gamma=90.00
Element x y z (fractional)
Sn 0.0000 0.0000 0.0000
Te 0.5000 0.5000 0.5000
Pd 0.0000 0.5000 0.5000
Pd 0.5000 0.0000 0.5000
Rh 0.5000 0.5000 0.0000

Computed properties:
energy relative to the elements, uncorrected	1.5	eV per formula unit
VASP energy	-23.35	eV per cell
total magnetization	0.0	μB/f.u.
SG	P4/mmm, No. 123